## one
First-principles (PBE) data for an optimized crystal structure of Sm4Ho5Mg, as listed in Alexandria.

Output
total moment: 0.00 μB per formula unit
DOS at the Fermi energy: 1.210 states/eV per atom
ρ: 7.37 g cm⁻³
calculated volume: 32.67 Å³ per atom
space-group type: I4mm (107)

Lattice parameters (Å, degrees): 5.7438 8.0699 8.0699 82.72 69.15 69.15
Closest atoms and distances in Å follow each position.
Fractional positions:
1 Sm 0.4625 0.3182 0.6817  5 Ho 3.36-3.72, 1 Mg 3.75
2 Sm 0.7807 0.6817 0.6818  5 Ho 3.36-3.72, 1 Mg 3.75
3 Sm 0.1442 0.3183 0.3182  5 Ho 3.36-3.72, 1 Mg 3.75
4 Sm 0.4625 0.6818 0.3183  5 Ho 3.36-3.72, 1 Mg 3.75
5 Ho 0.7666 0.3705 0.0000  1 Mg 3.10, 3 Ho 3.24-3.47, 2 Sm 3.36
6 Ho 0.1371 0.0000 0.6295  1 Mg 3.10, 3 Ho 3.24-3.47, 2 Sm 3.36
7 Ho 0.7666 0.0000 0.3705  1 Mg 3.10, 3 Ho 3.24-3.47, 2 Sm 3.36
8 Ho 0.1371 0.6295 0.0000  1 Mg 3.10, 3 Ho 3.24-3.47, 2 Sm 3.36
9 Ho 0.6670 0.0000 0.0000  2 Mg 2.76-2.98
10 Mg 0.1860 0.0000 0.0000  2 Ho 2.76-2.98

***

## two
First-principles (PBE) data for an optimized crystal structure of Sm4Ho5Mg, as listed in Alexandria.

Output
total moment: 0.00 μB per formula unit
DOS at the Fermi energy: 1.333 states/eV per atom
ρ: 7.68 g cm⁻³
calculated volume: 31.34 Å³ per atom
space-group type: P4/mmm (123)

Lattice parameters (Å, degrees): 3.5866 3.5866 24.3653 90.00 90.00 90.00
Closest atoms and distances in Å follow each position.
Fractional positions:
1 Sm 0.0000 0.0000 0.1895  8 Ho 3.54-3.58, 4 Sm 3.59
2 Sm 0.0000 0.0000 0.3967  8 Ho 3.57-3.58, 4 Sm 3.59
3 Sm 0.0000 0.0000 0.6033  8 Ho 3.57-3.58, 4 Sm 3.59
4 Sm 0.0000 0.0000 0.8105  8 Ho 3.54-3.58, 4 Sm 3.59
5 Ho 0.5000 0.5000 0.0881  4 Mg 3.32, 4 Sm 3.54, 4 Ho 3.59
6 Ho 0.5000 0.5000 0.2932  8 Sm 3.58, 4 Ho 3.59
7 Ho 0.5000 0.5000 0.5000  8 Sm 3.57, 4 Ho 3.59
8 Ho 0.5000 0.5000 0.7068  8 Sm 3.58, 4 Ho 3.59
9 Ho 0.5000 0.5000 0.9119  4 Mg 3.32, 4 Sm 3.54, 4 Ho 3.59
10 Mg 0.0000 0.0000 0.0000  8 Ho 3.32, 4 Mg 3.59

***

Computed energies relative to the best structure, in meV per atom: one 187; two 0

***

## one
First-principles (PBE) data for an optimized crystal structure of Sm5Ho2Mg, as listed in Alexandria.

Output
total moment: 0.00 μB per formula unit
DOS at the Fermi energy: 1.335 states/eV per atom
ρ: 7.20 g cm⁻³
calculated volume: 31.90 Å³ per atom
space-group type: Cmmm (65)

Lattice parameters (Å, degrees): 3.6164 9.7438 8.7277 123.92 90.01 90.00
Closest atoms and distances in Å follow each position.
Fractional positions:
1 Sm 0.0000 0.5000 0.0000  2 Ho 3.51, 10 Sm 3.60-3.62
2 Sm 0.4995 0.3663 0.2514  2 Mg 3.47-3.48, 4 Ho 3.52-3.54, 6 Sm 3.60-3.64
3 Sm 0.5005 0.6337 0.7486  2 Mg 3.47-3.48, 4 Ho 3.52-3.54, 6 Sm 3.60-3.64
4 Sm 0.4995 0.8851 0.2514  2 Mg 3.47-3.48, 4 Ho 3.52-3.54, 6 Sm 3.60-3.64
5 Sm 0.5005 0.1149 0.7486  2 Mg 3.47-3.48, 4 Ho 3.52-3.54, 6 Sm 3.60-3.64
6 Ho 0.0000 0.7423 0.4847  9 Sm 3.51-3.54, 2 Ho 3.62, 1 Mg 3.73
7 Ho 0.0000 0.2576 0.5153  9 Sm 3.51-3.54, 2 Ho 3.62, 1 Mg 3.73
8 Mg 0.0000 0.0000 0.0000  8 Sm 3.47-3.48, 2 Mg 3.62, 2 Ho 3.73

***

## two
First-principles (PBE) data for an optimized crystal structure of Sm5Ho2Mg, as listed in Alexandria.

Output
total moment: 0.00 μB per formula unit
DOS at the Fermi energy: 1.484 states/eV per atom
ρ: 7.08 g cm⁻³
calculated volume: 32.42 Å³ per atom
space-group type: Cmcm (63)

Lattice parameters (Å, degrees): 5.2116 6.2305 17.5866 90.00 90.00 114.72
Closest atoms and distances in Å follow each position.
Fractional positions:
1 Sm 0.9485 0.8969 0.9078  1 Mg 3.13, 1 Sm 3.45
2 Sm 0.9485 0.8969 0.5922  1 Mg 3.13, 1 Sm 3.45
3 Sm 0.3532 0.7063 0.4621  3 Ho 3.48-3.56, 8 Sm 3.55-3.74
4 Sm 0.3532 0.7063 0.0379  3 Ho 3.48-3.56, 8 Sm 3.55-3.74
5 Sm 0.4672 0.9345 0.2500  3 Mg 3.25-3.55
6 Sm 0.5328 0.0655 0.7500  3 Mg 3.25-3.55
7 Sm 0.6468 0.2937 0.5379  3 Ho 3.48-3.56, 8 Sm 3.55-3.74
8 Sm 0.6468 0.2937 0.9621  3 Ho 3.48-3.56, 8 Sm 3.55-3.74
9 Sm 0.0515 0.1031 0.0922  1 Mg 3.13, 1 Sm 3.45
10 Sm 0.0515 0.1031 0.4078  1 Mg 3.13, 1 Sm 3.45
11 Ho 0.7551 0.5101 0.3475  2 Mg 3.23, 1 Ho 3.43, 4 Sm 3.48-3.56
12 Ho 0.7551 0.5101 0.1525  2 Mg 3.23, 1 Ho 3.43, 4 Sm 3.48-3.56
13 Ho 0.2449 0.4899 0.6525  2 Mg 3.23, 1 Ho 3.43, 4 Sm 3.48-3.56
14 Ho 0.2449 0.4899 0.8475  2 Mg 3.23, 1 Ho 3.43, 4 Sm 3.48-3.56
15 Mg 0.8202 0.6403 0.7500  3 Sm 3.13-3.25, 4 Ho 3.23
16 Mg 0.1798 0.3597 0.2500  3 Sm 3.13-3.25, 4 Ho 3.23

***

Computed energies relative to the best structure, in meV per atom: one 0; two 63

***

## one
First-principles (PBE) data for an optimized crystal structure of Sm2Ho5Mg, as listed in Alexandria.

Output
total moment: 0.00 μB per formula unit
DOS at the Fermi energy: 1.368 states/eV per atom
ρ: 7.66 g cm⁻³
calculated volume: 31.15 Å³ per atom
space-group type: P-1 (2)

Lattice parameters (Å, degrees): 8.3543 15.2871 11.2590 52.67 77.06 102.15
Closest atoms and distances in Å follow each position.
Fractional positions:
1 Sm 0.5692 0.0870 0.7741  8 Ho 3.46-3.86, 4 Sm 3.49-3.73
2 Sm 0.8950 0.1678 0.8796  4 Ho 3.25-3.50, 3 Sm 3.41-3.49
3 Sm 0.7415 0.3815 0.6697  6 Ho 3.38-3.66, 4 Sm 3.41-3.72
4 Sm 0.8927 0.5613 0.2219  1 Mg 3.36, 3 Sm 3.44-3.67, 6 Ho 3.57-3.62
5 Sm 0.1073 0.4387 0.7781  1 Mg 3.36, 3 Sm 3.44-3.67, 6 Ho 3.57-3.62
6 Sm 0.2585 0.6185 0.3303  6 Ho 3.38-3.66, 4 Sm 3.41-3.72
7 Sm 0.1050 0.8322 0.1204  4 Ho 3.25-3.50, 3 Sm 3.41-3.49
8 Sm 0.4308 0.9130 0.2259  8 Ho 3.46-3.86, 4 Sm 3.49-3.73
9 Ho 0.8482 0.9267 0.2359  4 Ho 3.11-3.46, 3 Sm 3.25-3.48
10 Ho 0.3422 0.0240 0.5542  5 Ho 3.07-3.40, 2 Mg 3.14-3.20
11 Ho 0.9009 0.0505 0.5850  5 Ho 3.24-3.60, 3 Mg 3.44-3.45, 1 Sm 3.46
12 Ho 0.6133 0.2032 0.1138  6 Ho 3.40-3.75, 4 Sm 3.50-3.81, 2 Mg 3.54-3.74
13 Ho 0.7221 0.2679 0.3482  5 Ho 3.25-3.55, 2 Mg 3.42-3.57, 2 Sm 3.46-3.58
14 Ho 0.2949 0.1562 0.9658  1 Mg 3.35, 6 Ho 3.46-3.61, 4 Sm 3.46-3.71
15 Ho 0.4190 0.3659 0.5271  5 Ho 3.28-3.64, 2 Sm 3.47-3.59
16 Ho 0.0387 0.3341 0.4626  1 Mg 3.37, 5 Sm 3.41-3.67, 5 Ho 3.42-3.75
17 Ho 0.1755 0.4815 0.0453  2 Mg 3.29-3.47, 6 Ho 3.34-3.48, 2 Sm 3.58-3.62
18 Ho 0.4842 0.4283 0.8854  3 Mg 3.32-3.42, 5 Ho 3.34-3.56, 2 Sm 3.38-3.62
19 Ho 0.5158 0.5717 0.1146  3 Mg 3.32-3.42, 5 Ho 3.34-3.56, 2 Sm 3.38-3.62
20 Ho 0.8245 0.5185 0.9547  2 Mg 3.29-3.47, 6 Ho 3.34-3.48, 2 Sm 3.58-3.62
21 Ho 0.9613 0.6659 0.5374  1 Mg 3.37, 5 Sm 3.41-3.67, 5 Ho 3.42-3.75
22 Ho 0.5810 0.6341 0.4729  5 Ho 3.28-3.64, 2 Sm 3.47-3.59
23 Ho 0.7051 0.8438 0.0342  1 Mg 3.35, 6 Ho 3.46-3.61, 4 Sm 3.46-3.71
24 Ho 0.2779 0.7321 0.6518  5 Ho 3.25-3.55, 2 Mg 3.42-3.57, 2 Sm 3.46-3.58
25 Ho 0.3867 0.7968 0.8862  6 Ho 3.40-3.75, 4 Sm 3.50-3.81, 2 Mg 3.54-3.74
26 Ho 0.0991 0.9495 0.4150  5 Ho 3.24-3.60, 3 Mg 3.44-3.45, 1 Sm 3.46
27 Ho 0.6578 0.9760 0.4458  5 Ho 3.07-3.40, 2 Mg 3.14-3.20
28 Ho 0.1518 0.0733 0.7641  4 Ho 3.11-3.46, 3 Sm 3.25-3.48
29 Mg 0.0393 0.2093 0.1684  6 Ho 3.14-3.44, 1 Sm 3.36, 1 Mg 3.41
30 Mg 0.3418 0.2826 0.2883  8 Ho 3.20-3.54, 1 Mg 3.41
31 Mg 0.6582 0.7174 0.7117  8 Ho 3.20-3.54, 1 Mg 3.41
32 Mg 0.9607 0.7907 0.8316  6 Ho 3.14-3.44, 1 Sm 3.36, 1 Mg 3.41

***

## two
First-principles (PBE) data for an optimized crystal structure of Sm2Ho5Mg, as listed in Alexandria.

Output
total moment: 0.00 μB per formula unit
DOS at the Fermi energy: 1.005 states/eV per atom
ρ: 7.78 g cm⁻³
calculated volume: 30.66 Å³ per atom
space-group type: I4/mmm (139)

Lattice parameters (Å, degrees): 6.9968 6.9968 7.0420 119.79 119.79 90.00
Closest atoms and distances in Å follow each position.
Fractional positions:
1 Sm 0.2221 0.7221 0.4442  10 Ho 3.50-3.52, 2 Mg 3.50
2 Sm 0.7220 0.2221 0.4442  10 Ho 3.50-3.52, 2 Mg 3.50
3 Ho 0.7221 0.2221 0.9442  6 Ho 3.50-3.52, 2 Mg 3.52, 4 Sm 3.52
4 Ho 0.2221 0.2221 0.9442  6 Ho 3.50-3.52, 2 Mg 3.52, 4 Sm 3.52
5 Ho 0.7222 0.7222 0.9443  6 Ho 3.50-3.52, 2 Mg 3.52, 4 Sm 3.52
6 Ho 0.2221 0.7221 0.9442  6 Ho 3.50-3.52, 2 Mg 3.52, 4 Sm 3.52
7 Ho 0.7221 0.7221 0.4441  4 Sm 3.50, 8 Ho 3.52
8 Mg 0.2223 0.2223 0.4447  4 Sm 3.50, 8 Ho 3.52

***

Computed energies relative to the best structure, in meV per atom: one 75; two 0

***

## one
First-principles (PBE) data for an optimized crystal structure of Sm7Ho2Mg2, as listed in Alexandria.

Output
total moment: 0.00 μB per formula unit
DOS at the Fermi energy: 1.439 states/eV per atom
ρ: 6.64 g cm⁻³
calculated volume: 32.55 Å³ per atom
space-group type: C2/m (12)

Lattice parameters (Å, degrees): 7.6798 7.6798 6.7292 75.43 75.43 100.92
Closest atoms and distances in Å follow each position.
Fractional positions:
1 Sm 0.5767 0.0710 0.2015  2 Ho 3.31-3.38, 1 Mg 3.33, 6 Sm 3.40-3.69
2 Sm 0.9290 0.4233 0.7985  2 Ho 3.31-3.38, 1 Mg 3.33, 6 Sm 3.40-3.69
3 Sm 0.4233 0.9290 0.7985  2 Ho 3.31-3.38, 1 Mg 3.33, 6 Sm 3.40-3.69
4 Sm 0.0710 0.5767 0.2015  2 Ho 3.31-3.38, 1 Mg 3.33, 6 Sm 3.40-3.69
5 Sm 0.0000 0.0000 0.0000  2 Mg 3.30, 4 Sm 3.40
6 Sm 0.3330 0.3330 0.4805  3 Mg 3.36-3.42, 6 Sm 3.38-3.72, 2 Ho 3.59
7 Sm 0.6670 0.6670 0.5195  3 Mg 3.36-3.42, 6 Sm 3.38-3.72, 2 Ho 3.59
8 Ho 0.1368 0.8632 0.5000  1 Ho 3.24, 6 Sm 3.31-3.59
9 Ho 0.8632 0.1368 0.5000  1 Ho 3.24, 6 Sm 3.31-3.59
10 Mg 0.6562 0.6562 0.0263  1 Mg 3.21, 6 Sm 3.30-3.42
11 Mg 0.3438 0.3438 0.9737  1 Mg 3.21, 6 Sm 3.30-3.42

***

## two
First-principles (PBE) data for an optimized crystal structure of Sm7Ho2Mg2, as listed in Alexandria.

Output
total moment: 0.00 μB per formula unit
DOS at the Fermi energy: 1.171 states/eV per atom
ρ: 6.71 g cm⁻³
calculated volume: 32.19 Å³ per atom
space-group type: C2/m (12)

Lattice parameters (Å, degrees): 5.7958 8.1209 8.1209 85.91 74.25 74.25
Closest atoms and distances in Å follow each position.
Fractional positions:
1 Sm 0.1861 0.0148 0.5996  3 Sm 3.09-3.39, 1 Ho 3.42
2 Sm 0.8139 0.4004 0.9852  3 Sm 3.09-3.39, 1 Ho 3.42
3 Sm 0.8139 0.9852 0.4004  3 Sm 3.09-3.39, 1 Ho 3.42
4 Sm 0.1861 0.5996 0.0148  3 Sm 3.09-3.39, 1 Ho 3.42
5 Sm 0.0000 0.0000 0.0000  4 Sm 3.14
6 Sm 0.6642 0.7692 0.7692  1 Mg 3.26, 4 Sm 3.39-3.50, 2 Ho 3.53
7 Sm 0.3358 0.2308 0.2308  1 Mg 3.26, 4 Sm 3.39-3.50, 2 Ho 3.53
8 Ho 0.5000 0.2202 0.7798  10 Sm 3.42-3.79, 2 Mg 3.45
9 Ho 0.5000 0.7798 0.2202  10 Sm 3.42-3.79, 2 Mg 3.45
10 Mg 0.7811 0.4403 0.4403  2 Mg 3.03-3.33, 1 Sm 3.26
11 Mg 0.2189 0.5597 0.5597  2 Mg 3.03-3.33, 1 Sm 3.26

***

Computed energies relative to the best structure, in meV per atom: one 39; two 0

***

## one
First-principles (PBE) data for an optimized crystal structure of Sm8HoMg2, as listed in Alexandria.

Output
total moment: 0.00 μB per formula unit
DOS at the Fermi energy: 1.474 states/eV per atom
ρ: 6.72 g cm⁻³
calculated volume: 31.82 Å³ per atom
space-group type: C2/m (12)

Lattice parameters (Å, degrees): 5.2291 8.3056 9.0538 110.62 106.78 90.00
Closest atoms and distances in Å follow each position.
Fractional positions:
1 Sm 0.5968 0.4633 0.1937  3 Mg 3.39-3.44, 1 Ho 3.59, 8 Sm 3.60-3.72
2 Sm 0.3157 0.0576 0.6315  1 Mg 3.30, 7 Sm 3.37-3.60, 1 Ho 3.40
3 Sm 0.1439 0.1991 0.2877  3 Mg 3.34-3.40, 2 Ho 3.57, 7 Sm 3.58-3.69
4 Sm 0.0507 0.7341 0.1014  1 Mg 3.45, 9 Sm 3.50-3.72, 2 Ho 3.73
5 Sm 0.8561 0.8009 0.7123  3 Mg 3.34-3.40, 2 Ho 3.57, 7 Sm 3.58-3.69
6 Sm 0.6843 0.9424 0.3685  1 Mg 3.30, 7 Sm 3.37-3.60, 1 Ho 3.40
7 Sm 0.4032 0.5367 0.8063  3 Mg 3.39-3.44, 1 Ho 3.59, 8 Sm 3.60-3.72
8 Sm 0.9493 0.2659 0.8986  1 Mg 3.45, 9 Sm 3.50-3.72, 2 Ho 3.73
9 Ho 0.5000 0.0000 0.0000  12 Sm 3.40-3.73
10 Mg 0.2263 0.6320 0.4526  8 Sm 3.30-3.45
11 Mg 0.7737 0.3680 0.5474  8 Sm 3.30-3.45

***

## two
First-principles (PBE) data for an optimized crystal structure of Sm8HoMg2, as listed in Alexandria.

Output
total moment: 0.00 μB per formula unit
DOS at the Fermi energy: 1.201 states/eV per atom
ρ: 6.55 g cm⁻³
calculated volume: 32.66 Å³ per atom
space-group type: C2/m (12)

Lattice parameters (Å, degrees): 5.7666 9.0506 9.0506 121.11 103.04 103.04
Closest atoms and distances in Å follow each position.
Fractional positions:
1 Sm 0.8621 0.9027 0.6770  2 Mg 3.28-3.48, 5 Sm 3.33-3.62
2 Sm 0.8621 0.6770 0.9027  2 Mg 3.28-3.48, 5 Sm 3.33-3.62
3 Sm 0.2948 0.5905 0.5905  1 Sm 3.02, 1 Ho 3.27
4 Sm 0.5000 0.7895 0.2105  2 Mg 3.26, 1 Ho 3.32, 2 Sm 3.62
5 Sm 0.5000 0.2105 0.7895  2 Mg 3.26, 1 Ho 3.32, 2 Sm 3.62
6 Sm 0.7052 0.4095 0.4095  1 Sm 3.02, 1 Ho 3.27
7 Sm 0.1379 0.3230 0.0973  2 Mg 3.28-3.48, 5 Sm 3.33-3.62
8 Sm 0.1379 0.0973 0.3230  2 Mg 3.28-3.48, 5 Sm 3.33-3.62
9 Ho 0.5000 0.0000 0.0000  4 Sm 3.27-3.32
10 Mg 0.0000 0.3070 0.6930  8 Sm 3.26-3.48
11 Mg 0.0000 0.6930 0.3070  8 Sm 3.26-3.48

***

Computed energies relative to the best structure, in meV per atom: one 0; two 109